Entry 1:
First-principles (PBE-GGA) data for BaTlSe3 after structural relaxation, as listed in the Alexandria database.

Lattice parameters (Å, degrees): 6.675 7.634 6.574 82.13 99.23 81.84
Element x y z (fractional)
Ba (0.350, 0.903, 0.390)
Ba (0.636, 0.399, 0.094)
Tl (0.993, 0.151, 0.742)
Tl (0.993, 0.651, 0.742)
Se (0.160, 0.312, 0.106)
Se (0.826, 0.989, 0.378)
Se (0.345, 0.803, 0.909)
Se (0.704, 0.912, 0.019)
Se (0.282, 0.390, 0.465)
Se (0.640, 0.498, 0.574)

Properties
E	-3.8202	eV/atom
formation energy (no corrections)	-0.87	eV/atom
polymorph energy (0 for the lowest one)	0.000	eV/atom

***

Entry 2:
First-principles (PBE-GGA) data for BaIr2 after structural relaxation, as listed in the Alexandria database.

Lattice parameters (Å, degrees): 10.882 10.882 4.400 90.00 90.00 164.15
Last column: magnetic moment on the atom in μB.
Element x y z (fractional)
Ba (0.123, 0.877, 0.250)  0.00
Ba (0.877, 0.123, 0.750)  0.00
Ir (0.479, 0.521, 0.250)  0.16
Ir (0.521, 0.479, 0.750)  0.16
Ir (0.760, 0.240, 0.250)  0.00
Ir (0.240, 0.760, 0.750)  0.00

Properties
E	-6.1570	eV/atom
calculated formation energy	391	meV/atom

***

Entry 3:
First-principles (PBE-GGA) data for Tm3Cd8 after structural relaxation, as listed in the Alexandria database.

Lattice parameters (Å, degrees): 4.930 4.930 12.604 78.72 78.72 60.00
Element x y z (fractional)
Tm (0.000, 0.000, 0.000)
Tm (0.547, 0.547, 0.359)
Tm (0.453, 0.453, 0.641)
Cd (0.634, 0.634, 0.097)
Cd (0.366, 0.366, 0.903)
Cd (0.723, 0.723, 0.832)
Cd (0.277, 0.277, 0.168)
Cd (0.837, 0.837, 0.490)
Cd (0.163, 0.163, 0.510)
Cd (0.916, 0.916, 0.251)
Cd (0.084, 0.084, 0.749)

Properties
E	-2.1147	eV/atom
calculated formation energy	-230	meV/atom

***

- Which value of E does entry 3 give?
  -2.1147 eV/atom

***

Repeat the third record exactly.
First-principles (PBE-GGA) data for Tm3Cd8 after structural relaxation, as listed in the Alexandria database.

Lattice parameters (Å, degrees): 4.930 4.930 12.604 78.72 78.72 60.00
Element x y z (fractional)
Tm (0.000, 0.000, 0.000)
Tm (0.547, 0.547, 0.359)
Tm (0.453, 0.453, 0.641)
Cd (0.634, 0.634, 0.097)
Cd (0.366, 0.366, 0.903)
Cd (0.723, 0.723, 0.832)
Cd (0.277, 0.277, 0.168)
Cd (0.837, 0.837, 0.490)
Cd (0.163, 0.163, 0.510)
Cd (0.916, 0.916, 0.251)
Cd (0.084, 0.084, 0.749)

Properties
E	-2.1147	eV/atom
calculated formation energy	-230	meV/atom